DFT (PBE) results for crystalline ZrAu2Cl at its relaxed geometry.

The structure belongs to space group Fm-3m (No. 225); the cell edges are 6.871, 6.871 and 6.871 Å and the angles 90.00°, 90.00° and 90.00°. The asymmetric unit holds Zr at (0.000, 0.000, 0.000), Au at (0.250, 0.250, 0.250) and Cl at (0.000, 0.000, 0.500).

The calculated volume is 324.4 Å³ per cell. The value obtained for the total energy is -4.31 eV/atom. Its uncorrected formation energy is -0.0684 eV/atom.